! K2TbTcO6, relaxed, DFT GGA-PBE; values from VASP
&SYSTEM
  ibrav = 0, nat = 10, ntyp = 4
/
ATOMIC_SPECIES
K 39.10 K.upf
Tb 158.93 Tb.upf
Tc 98.00 Tc.upf
O 16.00 O.upf
ATOMIC_POSITIONS angstrom
K 0.556 0.000 3.615
K 5.242 3.131 1.808
Tb 2.899 0.000 0.000
Tc 0.000 0.000 0.000
O 4.625 0.000 1.512
O 4.625 -1.821 4.667
O 4.625 1.821 4.667
O 1.173 4.953 0.756
O 1.173 1.310 0.756
O 1.173 3.131 3.911
CELL_PARAMETERS angstrom
5.797 0.000 0.000
0.000 6.262 0.000
0.000 -3.131 5.423
! Symmetry = P-3m1 (164)
! Uncorrected energy = -65.58 eV per formula unit
! Mass density = 3.64 g/cm³
! Total magnetic moment = 0.00 μB/cell